1.
# Dy6SiAs2S3

A relaxed structure of Dy6SiAs2S3 (PBE-GGA, the Alexandria database).

The density comes out at 7.5 Mg/m³. Its electronic total energy is -0.4577 Ry/atom.

Unit cell a=8.9942 b=8.9942 c=8.0321 alpha=102.52 beta=102.52 gamma=25.93
Closest atoms and distances in Å follow each position.
Fractional coordinates of all 12 atoms:
Dy: 0.0007 0.0007 0.2544  2 Si 2.82, 3 S 2.86-2.87, 1 As 2.87
Dy: 0.3339 0.3339 0.9164  3 S 2.84, 3 As 2.85
Dy: 0.3357 0.3357 0.4195  1 Si 2.81, 3 S 2.85-2.87, 2 As 2.86
Dy: 0.6643 0.6643 0.5805  1 Si 2.81, 3 S 2.85-2.87, 2 As 2.86
Dy: 0.6661 0.6661 0.0836  3 S 2.84, 3 As 2.85
Dy: 0.9993 0.9993 0.7456  2 Si 2.82, 3 S 2.86-2.87, 1 As 2.87
Si: 0.5000 0.5000 0.5000  6 Dy 2.81-2.82
As: 0.1672 0.1672 0.8343  6 Dy 2.85-2.87
As: 0.8328 0.8328 0.1657  6 Dy 2.85-2.87
S: 0.1680 0.1680 0.3325  6 Dy 2.84-2.87
S: 0.5000 0.5000 0.0000  6 Dy 2.84-2.87
S: 0.8320 0.8320 0.6675  6 Dy 2.84-2.87



2.
# Dy4SiAsS2

A relaxed structure of Dy4SiAsS2 (PBE-GGA, the Alexandria database).

The density comes out at 7.3 Mg/m³. Its electronic total energy is -0.4555 Ry/atom.

Unit cell a=6.9547 b=4.0334 c=6.9971 alpha=90.00 beta=109.50 gamma=90.00
Closest atoms and distances in Å follow each position.
Fractional coordinates of all 8 atoms:
Dy: 0.2474 0.0000 0.2461  2 Si 2.83, 3 S 2.84-2.87, 1 As 2.86
Dy: 0.2478 0.5000 0.7532  1 Si 2.82, 3 S 2.85-2.88, 2 As 2.85
Dy: 0.7522 0.5000 0.2468  1 Si 2.82, 3 S 2.85-2.88, 2 As 2.85
Dy: 0.7526 0.0000 0.7539  2 Si 2.83, 3 S 2.84-2.87, 1 As 2.86
Si: 0.0000 0.5000 0.0000  6 Dy 2.82-2.83
As: 0.0000 0.0000 0.5000  6 Dy 2.85-2.86
S: 0.5000 0.0000 0.0000  6 Dy 2.84-2.85
S: 0.5000 0.5000 0.5000  6 Dy 2.87-2.88



3.
# Dy4SiAs2S

A relaxed structure of Dy4SiAs2S (PBE-GGA, the Alexandria database).

The density comes out at 7.5 Mg/m³. Its electronic total energy is -0.4495 Ry/atom.

Unit cell a=7.0592 b=4.0593 c=7.0689 alpha=90.00 beta=109.36 gamma=90.00
Closest atoms and distances in Å follow each position.
Fractional coordinates of all 8 atoms:
Dy: 0.2475 0.0000 0.2492  2 Si 2.87, 1 S 2.87, 3 As 2.89
Dy: 0.2485 0.5000 0.7529  1 Si 2.86, 3 As 2.88-2.91, 2 S 2.88
Dy: 0.7525 0.0000 0.7508  2 Si 2.87, 1 S 2.87, 3 As 2.89
Dy: 0.7515 0.5000 0.2471  1 Si 2.86, 3 As 2.88-2.91, 2 S 2.88
Si: 0.0000 0.5000 0.0000  6 Dy 2.86-2.87
As: 0.5000 0.0000 0.0000  6 Dy 2.88-2.89
As: 0.5000 0.5000 0.5000  6 Dy 2.89-2.91
S: 0.0000 0.0000 0.5000  6 Dy 2.87-2.88



Please write out number 3 again, unchanged.
# Dy4SiAs2S

A relaxed structure of Dy4SiAs2S (PBE-GGA, the Alexandria database).

The density comes out at 7.5 Mg/m³. Its electronic total energy is -0.4495 Ry/atom.

Unit cell a=7.0592 b=4.0593 c=7.0689 alpha=90.00 beta=109.36 gamma=90.00
Closest atoms and distances in Å follow each position.
Fractional coordinates of all 8 atoms:
Dy: 0.2475 0.0000 0.2492  2 Si 2.87, 1 S 2.87, 3 As 2.89
Dy: 0.2485 0.5000 0.7529  1 Si 2.86, 3 As 2.88-2.91, 2 S 2.88
Dy: 0.7525 0.0000 0.7508  2 Si 2.87, 1 S 2.87, 3 As 2.89
Dy: 0.7515 0.5000 0.2471  1 Si 2.86, 3 As 2.88-2.91, 2 S 2.88
Si: 0.0000 0.5000 0.0000  6 Dy 2.86-2.87
As: 0.5000 0.0000 0.0000  6 Dy 2.88-2.89
As: 0.5000 0.5000 0.5000  6 Dy 2.89-2.91
S: 0.0000 0.0000 0.5000  6 Dy 2.87-2.88